No. 1
Below is SrCo2Se at its PBEsol-relaxed geometry, with properties calculated at the meta-GGA SCAN level. Values from VASP.

```
&SYSTEM
  ibrav = 0, nat = 4, ntyp = 3
/
ATOMIC_SPECIES
Sr 87.62 Sr.upf
Co 58.93 Co.upf
Se 78.96 Se.upf
CELL_PARAMETERS angstrom
4.000 0.000 0.024
0.000 4.019 0.000
-0.030 0.000 4.576
ATOMIC_POSITIONS crystal
Sr 0.500 0.000 0.500
Co 0.000 0.000 0.000
Co 0.500 0.500 0.000
Se 0.000 0.500 0.500
```

Results
Magnetization in μB/atom: 0.990
Calculated density in g/cm3: 6.4
V in Å³/atom: 18.4
Space group: Pmmm, No. 47
ΔE_f (raw) in eV/atom: -0.0111
E in eV/atom: -19.25

No. 2
Below is TaCoSe3 at its PBEsol-relaxed geometry, with properties calculated at the meta-GGA SCAN level. Values from VASP.

```
&SYSTEM
  ibrav = 0, nat = 5, ntyp = 3
/
ATOMIC_SPECIES
Co 58.93 Co.upf
Se 78.96 Se.upf
Ta 180.95 Ta.upf
CELL_PARAMETERS angstrom
4.503 0.000 0.000
0.000 4.503 0.000
0.000 0.000 4.503
ATOMIC_POSITIONS crystal
Co 0.000 0.000 0.000
Se 0.000 0.500 0.000
Se 0.000 0.000 0.500
Se 0.500 0.000 0.000
Ta 0.500 0.500 0.500
```

Results
Magnetization in μB/atom: 0.146
Calculated density in g/cm3: 8.7
V in Å³/atom: 18.3
Space group: Pm-3m, No. 221
ΔE_f (raw) in eV/atom: 0.6539
E in eV/atom: -28.17

No. 3
Below is TaCoSe at its PBEsol-relaxed geometry, with properties calculated at the meta-GGA SCAN level. Values from VASP.

```
&SYSTEM
  ibrav = 0, nat = 3, ntyp = 3
/
ATOMIC_SPECIES
Co 58.93 Co.upf
Se 78.96 Se.upf
Ta 180.95 Ta.upf
CELL_PARAMETERS angstrom
-3.569 0.679 -1.812
-3.117 -2.518 0.648
-3.186 1.236 2.191
ATOMIC_POSITIONS crystal
Co 0.250 0.250 0.250
Se 0.000 0.000 0.000
Ta 0.500 0.500 0.500
```

Results
Magnetization in μB/atom: 0.000
Calculated density in g/cm3: 11.2
V in Å³/atom: 15.8
Space group: F-43m, No. 216
ΔE_f (raw) in eV/atom: 0.2482
E in eV/atom: -34.41

No. 4
Below is YTaCo2Se at its PBEsol-relaxed geometry, with properties calculated at the meta-GGA SCAN level. Values from VASP.

```
&SYSTEM
  ibrav = 0, nat = 5, ntyp = 4
/
ATOMIC_SPECIES
Y 88.91 Y.upf
Co 58.93 Co.upf
Se 78.96 Se.upf
Ta 180.95 Ta.upf
CELL_PARAMETERS angstrom
4.323 0.000 0.000
0.000 4.323 0.000
0.000 0.000 5.838
ATOMIC_POSITIONS crystal
Y 0.000 0.000 0.500
Co 0.000 0.500 0.000
Co 0.500 0.000 0.000
Se 0.500 0.500 0.500
Ta 0.000 0.000 0.000
```

Results
Magnetization in μB/atom: 0.000
Calculated density in g/cm3: 7.1
V in Å³/atom: 21.8
Space group: P4/mmm, No. 123
ΔE_f (raw) in eV/atom: 0.9895
E in eV/atom: -28.83

No. 5
Below is CoTc2Se at its PBEsol-relaxed geometry, with properties calculated at the meta-GGA SCAN level. Values from VASP.

```
&SYSTEM
  ibrav = 0, nat = 4, ntyp = 3
/
ATOMIC_SPECIES
Co 58.93 Co.upf
Se 78.96 Se.upf
Tc 98.00 Tc.upf
CELL_PARAMETERS angstrom
-0.565 -2.930 -0.007
4.035 -0.776 -0.886
0.898 -0.183 4.250
ATOMIC_POSITIONS crystal
Co 0.500 0.000 0.500
Se 0.000 0.500 0.500
Tc 0.000 0.000 0.000
Tc 0.500 0.500 0.000
```

Results
Magnetization in μB/atom: 0.573
Calculated density in g/cm3: 10.2
V in Å³/atom: 13.6
Space group: Pmmm, No. 47
ΔE_f (raw) in eV/atom: 0.4771
E in eV/atom: -26.40

No. 6
Below is CoTc2Se at its PBEsol-relaxed geometry, with properties calculated at the meta-GGA SCAN level. Values from VASP.

```
&SYSTEM
  ibrav = 0, nat = 4, ntyp = 3
/
ATOMIC_SPECIES
Co 58.93 Co.upf
Se 78.96 Se.upf
Tc 98.00 Tc.upf
CELL_PARAMETERS angstrom
-2.270 1.123 1.489
-1.864 -1.302 -1.861
-0.108 -4.966 3.581
ATOMIC_POSITIONS crystal
Co 0.500 0.500 0.000
Se 0.500 0.500 0.500
Tc 0.000 0.000 0.756
Tc 0.000 0.000 0.244
```

Results
Magnetization in μB/atom: 0.628
Calculated density in g/cm3: 10.5
V in Å³/atom: 13.2
Space group: P4/mmm, No. 123
ΔE_f (raw) in eV/atom: 0.2677
E in eV/atom: -26.61

No. 7
Below is CoTcSe at its PBEsol-relaxed geometry, with properties calculated at the meta-GGA SCAN level. Values from VASP.

```
&SYSTEM
  ibrav = 0, nat = 3, ntyp = 3
/
ATOMIC_SPECIES
Co 58.93 Co.upf
Se 78.96 Se.upf
Tc 98.00 Tc.upf
CELL_PARAMETERS angstrom
-0.580 3.934 -0.229
-3.640 1.513 0.571
-0.794 2.091 3.296
ATOMIC_POSITIONS crystal
Co 0.250 0.250 0.250
Se 0.000 0.000 0.000
Tc 0.500 0.500 0.500
```

Results
Magnetization in μB/atom: 1.315
E above lowest polymorph in eV/atom: 0.1931
Calculated density in g/cm3: 8.8
V in Å³/atom: 14.9
Space group: F-43m, No. 216
ΔE_f (raw) in eV/atom: 0.4997
E in eV/atom: -23.65

No. 8
Below is Co3TcSe at its PBEsol-relaxed geometry, with properties calculated at the meta-GGA SCAN level. Values from VASP.

```
&SYSTEM
  ibrav = 0, nat = 5, ntyp = 3
/
ATOMIC_SPECIES
Co 58.93 Co.upf
Tc 98.00 Tc.upf
Se 78.96 Se.upf
CELL_PARAMETERS angstrom
4.328 0.000 0.000
0.000 4.328 0.000
0.000 0.000 4.328
ATOMIC_POSITIONS crystal
Co 0.000 0.500 0.000
Co 0.000 0.000 0.500
Co 0.500 0.000 0.000
Tc 0.000 0.000 0.000
Se 0.500 0.500 0.500
```

Results
Magnetization in μB/atom: 0.870
Calculated density in g/cm3: 7.2
V in Å³/atom: 16.2
Space group: Pm-3m, No. 221
ΔE_f (raw) in eV/atom: 1.5053
E in eV/atom: -19.90

No. 9
Below is CoTcSe3 at its PBEsol-relaxed geometry, with properties calculated at the meta-GGA SCAN level. Values from VASP.

```
&SYSTEM
  ibrav = 0, nat = 5, ntyp = 3
/
ATOMIC_SPECIES
Co 58.93 Co.upf
Tc 98.00 Tc.upf
Se 78.96 Se.upf
CELL_PARAMETERS angstrom
-0.401 -4.607 1.193
4.747 -0.472 -0.226
0.336 1.167 4.619
ATOMIC_POSITIONS crystal
Co 0.500 0.500 0.500
Tc 0.000 0.000 0.000
Se 0.000 0.500 0.000
Se 0.000 0.000 0.500
Se 0.500 0.000 0.000
```

Results
Magnetization in μB/atom: 0.180
Calculated density in g/cm3: 6.0
V in Å³/atom: 21.8
Space group: Pm-3m, No. 221
ΔE_f (raw) in eV/atom: 0.7691
E in eV/atom: -21.75

No. 10
Below is CoTcSe at its PBEsol-relaxed geometry, with properties calculated at the meta-GGA SCAN level. Values from VASP.

```
&SYSTEM
  ibrav = 0, nat = 3, ntyp = 3
/
ATOMIC_SPECIES
Co 58.93 Co.upf
Se 78.96 Se.upf
Tc 98.00 Tc.upf
CELL_PARAMETERS angstrom
2.972 0.000 0.000
0.000 2.972 0.000
-1.486 -1.486 4.494
ATOMIC_POSITIONS crystal
Co 0.006 0.006 0.012
Se 0.667 0.667 0.333
Tc 0.327 0.327 0.655
```

Results
Magnetization in μB/atom: 0.660
E above lowest polymorph in eV/atom: 0.0000
Calculated density in g/cm3: 9.9
V in Å³/atom: 13.2
Space group: I4mm, No. 107
ΔE_f (raw) in eV/atom: 0.3066
E in eV/atom: -23.84

No. 11
Below is CoTeSe2 at its PBEsol-relaxed geometry, with properties calculated at the meta-GGA SCAN level. Values from VASP.

```
&SYSTEM
  ibrav = 0, nat = 4, ntyp = 3
/
ATOMIC_SPECIES
Co 58.93 Co.upf
Se 78.96 Se.upf
Te 127.60 Te.upf
CELL_PARAMETERS angstrom
-2.284 1.896 -2.001
-3.321 -1.213 -0.561
-4.086 3.636 4.908
ATOMIC_POSITIONS crystal
Co 0.256 0.256 0.232
Se 0.973 0.973 0.082
Se 0.756 0.756 0.733
Te 0.516 0.516 0.453
```

Results
Magnetization in μB/atom: 0.000
Calculated density in g/cm3: 7.3
V in Å³/atom: 19.6
Space group: R3m, No. 160
ΔE_f (raw) in eV/atom: 0.0605
E in eV/atom: -23.62

No. 12
Below is CoTeSe2 at its PBEsol-relaxed geometry, with properties calculated at the meta-GGA SCAN level. Values from VASP.

```
&SYSTEM
  ibrav = 0, nat = 4, ntyp = 3
/
ATOMIC_SPECIES
Co 58.93 Co.upf
Se 78.96 Se.upf
Te 127.60 Te.upf
CELL_PARAMETERS angstrom
3.643 0.000 0.000
-1.821 3.158 0.032
0.000 -0.072 7.136
ATOMIC_POSITIONS crystal
Co 0.791 0.583 0.770
Se 0.124 0.249 0.914
Se 0.126 0.253 0.251
Te 0.458 0.916 0.565
```

Results
Magnetization in μB/atom: 0.000
Calculated density in g/cm3: 7.0
V in Å³/atom: 20.5
Space group: Cm, No. 8
ΔE_f (raw) in eV/atom: -0.0074
E in eV/atom: -23.69

No. 13
Below is CoTeSe2 at its PBEsol-relaxed geometry, with properties calculated at the meta-GGA SCAN level. Values from VASP.

```
&SYSTEM
  ibrav = 0, nat = 4, ntyp = 3
/
ATOMIC_SPECIES
Co 58.93 Co.upf
Se 78.96 Se.upf
Te 127.60 Te.upf
CELL_PARAMETERS angstrom
-0.789 -0.174 4.624
-4.377 -0.508 1.616
-1.307 -4.036 2.007
ATOMIC_POSITIONS crystal
Co 0.500 0.500 0.500
Se 0.000 0.000 0.000
Se 0.750 0.750 0.750
Te 0.250 0.250 0.250
```

Results
Magnetization in μB/atom: 0.285
Calculated density in g/cm3: 7.8
V in Å³/atom: 18.3
Space group: F-43m, No. 216
ΔE_f (raw) in eV/atom: 0.7032
E in eV/atom: -22.97

No. 14
Below is CoTeSe2 at its PBEsol-relaxed geometry, with properties calculated at the meta-GGA SCAN level. Values from VASP.

```
&SYSTEM
  ibrav = 0, nat = 4, ntyp = 3
/
ATOMIC_SPECIES
Co 58.93 Co.upf
Se 78.96 Se.upf
Te 127.60 Te.upf
CELL_PARAMETERS angstrom
-1.070 0.238 -3.188
-2.994 -1.281 -0.873
-4.836 6.636 0.337
ATOMIC_POSITIONS crystal
Co 0.000 0.000 0.000
Se 0.279 0.279 0.162
Se 0.721 0.721 0.838
Te 0.500 0.500 0.500
```

Results
Magnetization in μB/atom: 0.000
Calculated density in g/cm3: 7.3
V in Å³/atom: 19.7
Space group: R-3m, No. 166
ΔE_f (raw) in eV/atom: -0.0664
E in eV/atom: -23.74

No. 15
Below is Co3TeSe at its PBEsol-relaxed geometry, with properties calculated at the meta-GGA SCAN level. Values from VASP.

```
&SYSTEM
  ibrav = 0, nat = 5, ntyp = 3
/
ATOMIC_SPECIES
Te 127.60 Te.upf
Co 58.93 Co.upf
Se 78.96 Se.upf
CELL_PARAMETERS angstrom
-0.299 4.562 -0.720
-3.987 0.109 2.347
2.330 0.771 3.924
ATOMIC_POSITIONS crystal
Te 0.000 0.000 0.000
Co 0.000 0.500 0.000
Co 0.000 0.000 0.500
Co 0.500 0.000 0.000
Se 0.500 0.500 0.500
```

Results
Magnetization in μB/atom: 1.078
Calculated density in g/cm3: 6.4
V in Å³/atom: 19.8
Space group: Pm-3m, No. 221
ΔE_f (raw) in eV/atom: 0.9409
E in eV/atom: -20.91